# RbTlAsS3

An optimized crystal structure of RbTlAsS3 (PBE, Alexandria via LeMat-Bulk).

Summary:
Spin magnetization   0.000 μB per atom
Crystal system   monoclinic

a = 7.129 Å, b = 7.129 Å, c = 10.816 Å
α = 57.42°, β = 57.42°, γ = 68.64°
Fractional coordinates of all 12 atoms:
1 S 0.192 0.737 0.221
2 S 0.737 0.192 0.221
3 S 0.685 0.685 0.246
4 Tl 0.236 0.764 0.500
5 S 0.263 0.808 0.779
6 Rb 0.712 0.712 0.911
7 As 0.915 0.915 0.158
8 Rb 0.288 0.288 0.089
9 Tl 0.764 0.236 0.500
10 S 0.808 0.263 0.779
11 S 0.315 0.315 0.754
12 As 0.085 0.085 0.842

=====

# Rb2TmAs2S6

An optimized crystal structure of Rb2TmAs2S6 (PBE, Alexandria via LeMat-Bulk).

Summary:
Spin magnetization   0.000 μB per atom
Crystal system   monoclinic

a = 7.110 Å, b = 6.972 Å, c = 8.435 Å
α = 113.60°, β = 90.00°, γ = 120.66°
Fractional coordinates of all 11 atoms:
1 Rb 0.704 0.407 0.181
2 As 0.053 0.106 0.196
3 S 0.745 0.490 0.597
4 S 0.210 0.909 0.226
5 S 0.255 0.510 0.403
6 S 0.699 0.909 0.226
7 Rb 0.296 0.593 0.819
8 S 0.301 0.091 0.774
9 S 0.790 0.091 0.774
10 Tm 0.500 0.000 0.500
11 As 0.947 0.894 0.804

=====

# RbUAsS6

An optimized crystal structure of RbUAsS6 (PBE, Alexandria via LeMat-Bulk).

Summary:
Spin magnetization   0.000 μB per atom
Crystal system   trigonal

a = 6.334 Å, b = 6.334 Å, c = 7.923 Å
α = 90.01°, β = 89.99°, γ = 59.98°
Fractional coordinates of all 9 atoms:
1 As 0.333 0.333 0.500
2 S 0.356 0.017 0.684
3 U 0.667 0.667 0.500
4 Rb 0.000 0.000 0.000
5 S 0.627 0.017 0.316
6 S 0.356 0.627 0.316
7 S 0.627 0.356 0.684
8 S 0.017 0.627 0.684
9 S 0.017 0.356 0.316

=====

# Rb2UAsS5

An optimized crystal structure of Rb2UAsS5 (PBE, Alexandria via LeMat-Bulk).

Summary:
Spin magnetization   0.111 μB per atom
Crystal system   orthorhombic

a = 4.234 Å, b = 9.487 Å, c = 14.625 Å
α = 90.00°, β = 90.00°, γ = 102.89°
Last column: magnetic moment on the atom in μB.
Fractional coordinates of all 18 atoms:
1 U 0.203 0.406 0.034  1.22
2 Rb 0.103 0.206 0.656  0.00
3 As 0.551 0.101 0.931  0.00
4 Rb 0.137 0.273 0.316  0.00
5 S 0.677 0.354 0.913  -0.03
6 S 0.064 0.129 0.044  -0.05
7 S 0.323 0.646 0.413  -0.03
8 S 0.668 0.335 0.493  -0.05
9 Rb 0.863 0.727 0.816  0.00
10 S 0.332 0.665 0.993  -0.05
11 S 0.491 0.982 0.291  -0.01
12 S 0.509 0.018 0.791  -0.01
13 S 0.936 0.871 0.544  -0.05
14 U 0.797 0.594 0.534  1.22
15 Rb 0.897 0.794 0.156  0.00
16 As 0.449 0.899 0.431  0.00
17 S 0.714 0.427 0.146  -0.04
18 S 0.286 0.573 0.646  -0.04

=====

# Rb2UAs2S6

An optimized crystal structure of Rb2UAs2S6 (PBE, Alexandria via LeMat-Bulk).

Summary:
Spin magnetization   0.000 μB per atom
Crystal system   monoclinic

a = 7.015 Å, b = 8.775 Å, c = 7.144 Å
α = 117.91°, β = 90.00°, γ = 113.56°
Fractional coordinates of all 11 atoms:
1 S 0.662 0.324 0.564
2 S 0.309 0.140 0.818
3 Rb 0.247 0.494 0.770
4 S 0.338 0.676 0.436
5 S 0.691 0.860 0.182
6 As 0.971 0.942 0.797
7 Rb 0.753 0.506 0.230
8 S 0.832 0.140 0.818
9 As 0.029 0.058 0.203
10 S 0.168 0.860 0.182
11 U 0.500 0.000 0.500

=====

# RbY2AsS

An optimized crystal structure of RbY2AsS (PBE, Alexandria via LeMat-Bulk).

Summary:
Spin magnetization   0.000 μB per atom
Crystal system   tetragonal

a = 5.704 Å, b = 5.109 Å, c = 5.704 Å
α = 90.00°, β = 90.00°, γ = 90.00°
Fractional coordinates of all 5 atoms:
1 S 0.500 0.500 0.500
2 Y 0.500 0.000 0.000
3 Y 0.000 0.000 0.500
4 Rb 0.000 0.000 0.000
5 As 0.000 0.500 0.000

=====

Number 1: raw formation energy -2.92 eV/f.u.. Number 2: raw formation energy -9.05 eV/f.u.. Number 3: raw formation energy -5.05 eV/f.u.. Number 4: raw formation energy -8.80 eV/f.u.. Number 5: raw formation energy -9.19 eV/f.u.. Number 6: raw formation energy 6.63 eV/f.u..